VASP calculation (PBE+U) on an optimized crystal structure of Na6MnF12.

crystal system = trigonal
space-group type = R-3
raw total energy = -0.15889 Ha/atom
total magnetization = 0.263 μB per atom

a b c (Å): 6.4940 6.4940 6.4940
angles (deg): 98.32 98.32 98.32
Fractional positions:
1 F 0.5406 0.8382 0.4117
2 F 0.9858 0.0537 0.2848
3 F 0.0142 0.9463 0.7152
4 F 0.7152 0.0142 0.9463
5 F 0.9463 0.7152 0.0142
6 F 0.5883 0.4594 0.1618
7 F 0.1618 0.5883 0.4594
8 F 0.4594 0.1618 0.5883
9 F 0.2848 0.9858 0.0537
10 F 0.4117 0.5406 0.8382
11 F 0.0537 0.2848 0.9858
12 F 0.8382 0.4117 0.5406
13 Na 0.7112 0.3930 0.8484
14 Na 0.1516 0.2888 0.6070
15 Na 0.6070 0.1516 0.2888
16 Na 0.3930 0.8484 0.7112
17 Na 0.2888 0.6070 0.1516
18 Na 0.8484 0.7112 0.3930
19 Mn 0.0000 0.0000 0.0000